1.
First-principles (PBE) data for Nd3Mg5Pt2 after structural relaxation, as listed in Alexandria via LeMat-Bulk.

Unit cell a=12.300 b=12.917 c=6.406 alpha=90.00 beta=90.00 gamma=90.00
Space group Ibam (No. 72)
One atom of each set of equivalent atoms:
Nd 0.000 0.000 0.250 [4 per cell]
Nd 0.247 0.157 0.000 [8 per cell]
Mg 0.000 0.265 0.250 [8 per cell]
Mg 0.000 0.500 0.250 [4 per cell]
Mg 0.172 0.411 0.000 [8 per cell]
Pt 0.130 0.151 0.500 [8 per cell]

Output
The calculation puts the energy of formation at -428 meV per atom. Its energy is -3.864 eV/atom. The density of states at the Fermi level comes out at 28.3 states/eV per cell.

---

2.
First-principles (PBE) data for NdMg3Pt2 after structural relaxation, as listed in Alexandria via LeMat-Bulk.

Unit cell a=4.051 b=9.230 c=13.782 alpha=90.00 beta=90.00 gamma=90.00
Space group Immm (No. 71)
One atom of each set of equivalent atoms:
Nd 0.000 0.000 0.133 [4 per cell]
Mg 0.000 0.191 0.335 [8 per cell]
Mg 0.000 0.345 0.000 [4 per cell]
Pt 0.000 0.347 0.500 [4 per cell]
Pt 0.000 0.500 0.192 [4 per cell]

Output
The calculation puts the energy of formation at -738 meV per atom. Its energy is -4.344 eV/atom. The density of states at the Fermi level comes out at 9.6 states/eV per cell.

---

3.
First-principles (PBE) data for Nd2MgPt after structural relaxation, as listed in Alexandria via LeMat-Bulk.

Unit cell a=3.741 b=3.741 c=7.519 alpha=90.00 beta=90.00 gamma=90.00
Space group P4/mmm (No. 123)
One atom of each set of equivalent atoms:
Nd 0.000 0.000 0.222 [2 per cell]
Mg 0.500 0.500 0.500 [1 per cell]
Pt 0.500 0.500 0.000 [1 per cell]

Output
The calculation puts the energy of formation at -577 meV per atom. Its energy is -4.870 eV/atom. For the energy above the most stable polymorph in this dataset, the calculation gives 0 meV/atom. The density of states at the Fermi level comes out at 4.1 states/eV per cell.